(1)
! K3MnTe3, optimized geometry, DFT GGA-PBE; values from VASP
&SYSTEM
  ibrav = 0, nat = 14, ntyp = 3
/
ATOMIC_SPECIES
K 39.10 K.upf
Mn 54.94 Mn.upf
Te 127.60 Te.upf
ATOMIC_POSITIONS angstrom
K 4.755 4.704 0.000
K 3.928 3.745 4.122
K 3.529 0.000 1.211
K 4.327 0.000 7.033
K 3.928 -3.745 4.122
K 4.755 -4.704 0.000
Mn 0.532 0.000 5.377
Mn 7.324 0.000 2.867
Te 0.481 0.000 2.707
Te 1.551 2.143 6.447
Te 1.551 -2.143 6.447
Te 6.305 2.143 1.798
Te 6.305 -2.143 1.798
Te 7.375 0.000 5.537
CELL_PARAMETERS angstrom
4.755 -7.149 0.000
4.755 7.149 0.000
-1.653 0.000 8.244
! Total magnetization   0.571 μB/atom
! DOS(E_F)   6.9 states/eV/cell
! E_form (uncorrected)   -5.237 eV/f.u.
! Uncorrected energy   -3.875 eV per atom

(2)
! K3MnTe3, optimized geometry, DFT GGA-PBE; values from VASP
&SYSTEM
  ibrav = 0, nat = 28, ntyp = 3
/
ATOMIC_SPECIES
K 39.10 K.upf
Mn 54.94 Mn.upf
Te 127.60 Te.upf
ATOMIC_POSITIONS angstrom
K 14.442 -2.352 12.355
K 6.876 2.352 1.830
K 6.876 1.296 8.922
K 10.659 2.410 12.028
K 10.659 1.238 4.936
K 14.442 2.352 1.830
K 6.876 -1.296 5.263
K 14.442 1.296 8.922
K 6.876 -2.352 12.355
K 10.659 -1.238 9.248
K 10.659 -2.410 2.156
K 14.442 -1.296 5.263
Mn 1.800 0.000 7.092
Mn 8.859 0.000 0.000
Mn 12.459 0.000 0.000
Mn 19.518 0.000 7.092
Te 7.357 2.316 5.425
Te 7.357 1.332 12.517
Te 10.659 2.247 8.490
Te 10.659 1.401 1.398
Te 13.961 2.316 5.425
Te 13.961 1.332 12.517
Te 7.357 -1.332 1.667
Te 7.357 -2.316 8.759
Te 10.659 -1.401 12.786
Te 10.659 -2.247 5.694
Te 13.961 -1.332 1.667
Te 13.961 -2.316 8.759
CELL_PARAMETERS angstrom
10.659 -3.648 0.000
10.659 3.648 0.000
0.000 0.000 14.184
! Total magnetization   0.571 μB/atom
! DOS(E_F)   15.4 states/eV/cell
! E_form (uncorrected)   -5.331 eV/f.u.
! Uncorrected energy   -3.888 eV per atom

(3)
! KMnTe4, optimized geometry, DFT GGA-PBE; values from VASP
&SYSTEM
  ibrav = 0, nat = 12, ntyp = 3
/
ATOMIC_SPECIES
K 39.10 K.upf
Mn 54.94 Mn.upf
Te 127.60 Te.upf
ATOMIC_POSITIONS angstrom
K 2.750 0.000 1.150
K 11.452 0.000 5.615
Mn 6.738 0.000 4.695
Mn 7.464 0.000 2.070
Te 5.721 1.740 3.046
Te 7.617 1.594 0.000
Te 3.926 0.000 4.888
Te 8.481 1.740 3.718
Te 5.721 -1.740 3.046
Te 10.276 0.000 1.877
Te 7.617 -1.594 0.000
Te 8.481 -1.740 3.718
CELL_PARAMETERS angstrom
7.617 -3.929 0.000
7.617 3.929 0.000
-1.031 0.000 6.765
! Total magnetization   0.000 μB/atom
! DOS(E_F)   2.8 states/eV/cell
! E_form (uncorrected)   -1.240 eV/f.u.
! Uncorrected energy   -4.012 eV per atom

(4)
! K2Mn2Te3, optimized geometry, DFT GGA-PBE; values from VASP
&SYSTEM
  ibrav = 0, nat = 28, ntyp = 3
/
ATOMIC_SPECIES
K 39.10 K.upf
Mn 54.94 Mn.upf
Te 127.60 Te.upf
ATOMIC_POSITIONS angstrom
K 6.342 7.036 5.227
K 8.011 4.586 1.742
K 5.557 1.428 2.920
K 3.888 -1.428 6.405
K 10.464 1.428 0.565
K 8.795 -1.428 4.050
K 6.342 -4.586 5.227
K 8.011 -7.036 1.742
Mn 2.980 4.288 5.144
Mn 1.275 1.202 5.567
Mn 2.944 -1.202 2.082
Mn 9.703 4.288 5.311
Mn 4.649 -4.288 1.659
Mn 11.409 1.202 4.888
Mn 13.078 -1.202 1.403
Mn 11.372 -4.288 1.826
Te 4.807 4.724 3.100
Te 2.673 1.204 0.599
Te 1.003 -1.204 4.084
Te 3.739 2.006 6.441
Te 11.214 4.724 0.385
Te 8.945 2.006 4.014
Te 5.408 -2.006 2.956
Te 3.138 -4.724 6.585
Te 10.614 -2.006 0.529
Te 13.349 1.204 2.886
Te 11.680 -1.204 6.371
Te 9.545 -4.724 3.870
CELL_PARAMETERS angstrom
8.845 -8.021 0.000
8.845 8.021 0.000
-3.338 0.000 6.970
! Total magnetization   1.429 μB/atom
! E_form (uncorrected)   -3.886 eV/f.u.
! Uncorrected energy   -4.835 eV per atom

(5)
! KMnTe4, optimized geometry, DFT GGA-PBE; values from VASP
&SYSTEM
  ibrav = 0, nat = 6, ntyp = 3
/
ATOMIC_SPECIES
K 39.10 K.upf
Mn 54.94 Mn.upf
Te 127.60 Te.upf
ATOMIC_POSITIONS angstrom
K 0.000 0.000 0.000
Mn 6.927 6.927 6.927
Te 3.471 3.471 3.471
Te 5.765 5.765 3.471
Te 5.765 3.471 5.765
Te 3.471 5.765 5.765
CELL_PARAMETERS angstrom
0.000 4.618 4.618
4.618 0.000 4.618
4.618 4.618 0.000
! Total magnetization   0.960 μB/atom
! DOS(E_F)   2.5 states/eV/cell
! E_form (uncorrected)   1.452 eV/f.u.
! Uncorrected energy   -3.564 eV per atom

(6)
! K5Mn2Te5, optimized geometry, DFT GGA-PBE; values from VASP
&SYSTEM
  ibrav = 0, nat = 12, ntyp = 3
/
ATOMIC_SPECIES
K 39.10 K.upf
Mn 54.94 Mn.upf
Te 127.60 Te.upf
ATOMIC_POSITIONS angstrom
K 0.000 0.000 0.000
K 1.062 0.000 7.349
K 2.400 0.000 10.695
K 11.107 0.000 1.479
K 12.445 0.000 4.826
Mn 5.701 0.000 8.555
Mn 7.807 0.000 3.620
Te 1.435 0.000 3.596
Te 5.841 0.000 1.825
Te 6.754 0.000 6.087
Te 7.666 0.000 10.350
Te 12.073 0.000 8.579
CELL_PARAMETERS angstrom
7.927 -2.270 0.000
7.927 2.270 0.000
-2.346 0.000 12.175
! Total magnetization   0.749 μB/atom
! DOS(E_F)   4.3 states/eV/cell
! E_form (uncorrected)   -8.444 eV/f.u.
! Uncorrected energy   -3.998 eV per atom

(7)
! KMnTe3, optimized geometry, DFT GGA-PBE; values from VASP
&SYSTEM
  ibrav = 0, nat = 5, ntyp = 3
/
ATOMIC_SPECIES
K 39.10 K.upf
Mn 54.94 Mn.upf
Te 127.60 Te.upf
ATOMIC_POSITIONS angstrom
K 0.000 0.000 0.000
Mn 2.937 2.937 2.937
Te 0.000 0.000 2.937
Te 0.000 2.937 0.000
Te 2.937 0.000 0.000
CELL_PARAMETERS angstrom
5.875 0.000 0.000
0.000 5.875 0.000
0.000 0.000 5.875
! Total magnetization   0.885 μB/atom
! DOS(E_F)   8.1 states/eV/cell
! E_form (uncorrected)   5.539 eV/f.u.
! Uncorrected energy   -2.831 eV per atom

(8)
! KMn5Te8, optimized geometry, DFT GGA-PBE; values from VASP
&SYSTEM
  ibrav = 0, nat = 14, ntyp = 3
/
ATOMIC_SPECIES
K 39.10 K.upf
Mn 54.94 Mn.upf
Te 127.60 Te.upf
ATOMIC_POSITIONS angstrom
K 0.000 0.000 0.000
Mn 1.996 0.000 4.587
Mn 2.044 0.000 7.608
Mn 8.999 0.000 4.569
Mn 15.953 0.000 1.530
Mn 16.003 0.000 4.553
Te -0.316 0.000 6.149
Te 4.409 0.000 3.087
Te 6.834 0.000 0.056
Te 6.753 0.000 6.094
Te 11.246 0.000 3.045
Te 11.163 0.000 9.083
Te 13.589 0.000 6.053
Te 18.313 0.000 2.989
CELL_PARAMETERS angstrom
10.289 -1.998 0.000
10.289 1.998 0.000
-2.570 0.000 9.141
! Total magnetization   1.285 μB/atom
! DOS(E_F)   8.5 states/eV/cell
! E_form (uncorrected)   -3.995 eV/f.u.
! Uncorrected energy   -5.434 eV per atom

(9)
! KMn4Te8, optimized geometry, DFT GGA-PBE; values from VASP
&SYSTEM
  ibrav = 0, nat = 13, ntyp = 3
/
ATOMIC_SPECIES
K 39.10 K.upf
Mn 54.94 Mn.upf
Te 127.60 Te.upf
ATOMIC_POSITIONS angstrom
K 0.000 0.000 0.000
Mn -3.819 0.000 13.517
Mn -1.909 1.102 4.506
Mn 1.909 1.102 4.506
Mn 0.000 0.000 13.517
Te -1.923 -1.110 15.080
Te 0.000 0.000 6.063
Te 0.000 -2.220 11.955
Te -1.923 1.110 11.955
Te 1.923 -1.110 15.080
Te 0.000 2.220 15.080
Te 0.000 0.000 20.971
Te 1.923 1.110 11.955
CELL_PARAMETERS angstrom
3.819 2.205 9.011
-3.819 2.205 9.011
0.000 -4.409 9.011
! Total magnetization   0.963 μB/atom
! DOS(E_F)   6.9 states/eV/cell
! E_form (uncorrected)   -4.108 eV/f.u.
! Uncorrected energy   -5.155 eV per atom

(10)
! KMnTe3, optimized geometry, DFT GGA-PBE; values from VASP
&SYSTEM
  ibrav = 0, nat = 5, ntyp = 3
/
ATOMIC_SPECIES
K 39.10 K.upf
Mn 54.94 Mn.upf
Te 127.60 Te.upf
ATOMIC_POSITIONS angstrom
K 0.000 0.000 0.000
Mn 2.614 2.614 2.614
Te 0.000 2.614 2.614
Te 2.614 0.000 2.614
Te 2.614 2.614 0.000
CELL_PARAMETERS angstrom
5.227 0.000 0.000
0.000 5.227 0.000
0.000 0.000 5.227
! Total magnetization   0.000 μB/atom
! DOS(E_F)   9.9 states/eV/cell
! E_form (uncorrected)   0.184 eV/f.u.
! Uncorrected energy   -3.902 eV per atom

(11)
! KMn4Te, optimized geometry, DFT GGA-PBE; values from VASP
&SYSTEM
  ibrav = 0, nat = 6, ntyp = 3
/
ATOMIC_SPECIES
K 39.10 K.upf
Mn 54.94 Mn.upf
Te 127.60 Te.upf
ATOMIC_POSITIONS angstrom
K 0.000 0.000 0.000
Mn 5.016 3.012 3.012
Mn 3.012 5.016 3.012
Mn 3.012 3.012 5.016
Mn 5.016 5.016 5.016
Te 2.007 2.007 2.007
CELL_PARAMETERS angstrom
0.000 4.014 4.014
4.014 0.000 4.014
4.014 4.014 0.000
! Total magnetization   2.811 μB/atom
! DOS(E_F)   4.5 states/eV/cell
! E_form (uncorrected)   4.047 eV/f.u.
! Uncorrected energy   -6.145 eV per atom

(12)
! KMnTe3, optimized geometry, DFT GGA-PBE; values from VASP
&SYSTEM
  ibrav = 0, nat = 10, ntyp = 3
/
ATOMIC_SPECIES
K 39.10 K.upf
Mn 54.94 Mn.upf
Te 127.60 Te.upf
ATOMIC_POSITIONS angstrom
K 0.000 0.000 0.000
K 2.809 2.071 2.317
Mn 5.709 4.254 1.049
Mn 8.999 6.687 4.950
Te 3.937 5.539 6.891
Te 3.837 5.266 3.056
Te 7.259 5.395 6.883
Te 6.449 2.176 6.890
Te 6.164 2.138 3.047
Te 7.176 5.316 3.091
CELL_PARAMETERS angstrom
6.687 0.000 0.000
1.932 6.402 0.000
3.142 2.324 7.755
! Total magnetization   0.857 μB/atom
! DOS(E_F)   3.7 states/eV/cell
! E_form (uncorrected)   -1.604 eV/f.u.
! Uncorrected energy   -4.259 eV per atom